A relaxed TiZnCu2Pd crystal. Source: the Alexandria database, functional GGA-PBEsol.

Formation energy: 4.03 eV per formula unit
N(E_F): 5.42 states/eV/f.u.

Cell lengths 4.559, 4.559, 4.530 Å; angles 90.00, 90.00, 90.00 degrees
Positions (direct):
Ti1 0.000 0.000 0.000
Zn1 0.500 0.500 0.000
Cu1 0.000 0.500 0.500
Cu2 0.500 0.000 0.500
Pd1 0.500 0.500 0.500